Record 1
First-principles (PBE) data for a relaxed structure of LiAlOs2, as listed in the Alexandria database.

Computed properties:
Total DFT energy (no corrections) (Ry/atom): -0.5171
Mass density (Mg/m³): 12.4
ΔH_f (0 K) (eV per atom): -0.01
SG: C2/m (12)

Lattice parameters (Å, degrees): 4.5291 4.5291 4.7525 79.39 79.39 35.36
Atoms (fractional coordinates):
Al 0.7500 0.7500 0.7500
Li 0.2500 0.2500 0.2500
Os 0.0103 0.0103 0.0096
Os 0.4897 0.4897 0.4904

=====

Record 2
First-principles (PBE) data for a relaxed structure of Li2AlOs, as listed in the Alexandria database.

Computed properties:
Total DFT energy (no corrections) (Ry/atom): -0.3504
Mass density (Mg/m³): 6.7
ΔH_f (0 K) (eV per atom): -0.07
SG: Pm (6)

Lattice parameters (Å, degrees): 4.1626 2.6051 5.3631 78.28 90.00 90.00
Atoms (fractional coordinates):
Al 0.5000 0.8365 0.7115
Li 0.0000 0.9918 0.0245
Li 0.5000 0.2088 0.2398
Os 0.0000 0.4629 0.5242

=====

Record 3
First-principles (PBE) data for a relaxed structure of LiAl2Os, as listed in the Alexandria database.

Computed properties:
Total DFT energy (no corrections) (Ry/atom): -0.4086
Mass density (Mg/m³): 7.6
ΔH_f (0 K) (eV per atom): -0.40
SG: Fm-3m (225)

Lattice parameters (Å, degrees): 4.2737 4.2737 4.2737 60.00 60.00 60.00
Atoms (fractional coordinates):
Os 0.5000 0.5000 0.5000
Al 0.2500 0.2500 0.2500
Al 0.7500 0.7500 0.7500
Li 0.0000 0.0000 0.0000

=====

Record 4
First-principles (PBE) data for a relaxed structure of LiPmAlOs, as listed in the Alexandria database.

Computed properties:
Total DFT energy (no corrections) (Ry/atom): -0.4052
Mass density (Mg/m³): 8.4
ΔH_f (0 K) (eV per atom): -0.10
SG: F-43m (216)

Lattice parameters (Å, degrees): 4.6881 4.6881 4.6881 60.00 60.00 60.00
Atoms (fractional coordinates):
Li 0.0000 0.0000 0.0000
Os 0.5000 0.5000 0.5000
Al 0.2500 0.2500 0.2500
Pm 0.7500 0.7500 0.7500

=====

Record 5
First-principles (PBE) data for a relaxed structure of LiPrAlOs, as listed in the Alexandria database.

Computed properties:
Total DFT energy (no corrections) (Ry/atom): -0.4010
Mass density (Mg/m³): 8.1
ΔH_f (0 K) (eV per atom): -0.04
SG: F-43m (216)

Lattice parameters (Å, degrees): 4.7306 4.7306 4.7306 60.00 60.00 60.00
Atoms (fractional coordinates):
Pr 0.7500 0.7500 0.7500
Os 0.5000 0.5000 0.5000
Al 0.2500 0.2500 0.2500
Li 0.0000 0.0000 0.0000

=====

Record 6
First-principles (PBE) data for a relaxed structure of LiAl2SbOs, as listed in the Alexandria database.

Computed properties:
Total DFT energy (no corrections) (Ry/atom): -0.3522
Mass density (Mg/m³): 5.2
Formation energy from raw total energies (eV per atom): 0.158
SG: P4/mmm (123)

Lattice parameters (Å, degrees): 4.7609 5.2575 4.7609 90.00 90.00 90.00
Atoms (fractional coordinates):
Sb 0.0000 0.5000 0.0000
Os 0.0000 0.0000 0.0000
Al 0.0000 0.0000 0.5000
Al 0.5000 0.0000 0.0000
Li 0.5000 0.5000 0.5000

=====

| no. | volume (Å³/cell) |
| --- | --- |
| 1 | 55.4 |
| 2 | 56.9 |
| 3 | 55.2 |
| 4 | 72.9 |
| 5 | 74.9 |
| 6 | 119.2 |